{
  "formula": "BaMoSe2",
  "functional": "PBE",
  "state": "optimized geometry",
  "cell": [[-3.1131, 3.1131, 6.7003], [3.1131, -3.1131, 6.7003], [3.1131, 3.1131, -6.7003]],
  "species": ["Ba", "Ba", "Mo", "Mo", "Se", "Se", "Se", "Se"],
  "fractional_positions": [[0.0000, 0.0000, 0.0000], [0.7500, 0.2500, 0.5000], [0.2500, 0.7500, 0.5000], [0.5000, 0.5000, 0.0000], [0.2360, 0.6250, 0.1110], [0.3750, 0.4860, 0.6110], [0.5140, 0.1250, 0.8890], [0.8750, 0.7640, 0.3890]],
  "total_magnetization_mub_per_fu": 0.0,
  "dos_ef_per_ev_cell": 3.7,
  "e_above_lowest_polymorph_mev_per_atom": 200,
  "sg": "No. 122",
  "e_form_raw_ev_per_atom": -0.5601
}